[1]
MgRe2Pb, relaxed, DFT GGA-PBE; crystal system = cubic; spin magnetization = 0.00 μB/cell; energy relative to the elements = 101.28 kJ/mol of atoms; ΔE to the lowest computed polymorph = 78.8 kJ/mol of atoms
1.0
6.5282 0.0000 0.0000
0.0000 6.5282 0.0000
0.0000 0.0000 6.5282
Mg Re Pb
4 8 4
Direct
0.0000 0.0000 0.0000 Mg
0.0000 0.5000 0.5000 Mg
0.5000 0.0000 0.5000 Mg
0.5000 0.5000 0.0000 Mg
0.2500 0.2500 0.2500 Re
0.2500 0.2500 0.7500 Re
0.2500 0.7500 0.2500 Re
0.2500 0.7500 0.7500 Re
0.7500 0.2500 0.2500 Re
0.7500 0.2500 0.7500 Re
0.7500 0.7500 0.2500 Re
0.7500 0.7500 0.7500 Re
0.0000 0.0000 0.5000 Pb
0.0000 0.5000 0.0000 Pb
0.5000 0.0000 0.0000 Pb
0.5000 0.5000 0.5000 Pb

[2]
Mg3RePb, relaxed, DFT GGA-PBE; crystal system = cubic; spin magnetization = 0.00 μB/cell; energy relative to the elements = 78.70 kJ/mol of atoms; ΔE to the lowest computed polymorph = 0.0 kJ/mol of atoms
1.0
5.0990 0.0000 0.0000
0.0000 5.0990 0.0000
0.0000 0.0000 5.0990
Mg Re Pb
3 1 1
Direct
0.0000 0.0000 0.5000 Mg
0.0000 0.5000 0.0000 Mg
0.5000 0.0000 0.0000 Mg
0.0000 0.0000 0.0000 Re
0.5000 0.5000 0.5000 Pb

[3]
MgRe2Pb, relaxed, DFT GGA-PBE; crystal system = tetragonal; spin magnetization = 0.00 μB/cell; energy relative to the elements = 100.33 kJ/mol of atoms; ΔE to the lowest computed polymorph = 77.8 kJ/mol of atoms
1.0
2.7753 0.0000 0.0000
0.0000 2.7753 0.0000
0.0000 0.0000 9.7478
Mg Re Pb
1 2 1
Direct
0.0000 0.0000 0.0000 Mg
0.5000 0.5000 0.2249 Re
0.5000 0.5000 0.7751 Re
0.0000 0.0000 0.5000 Pb

[4]
MgRe2Pb, relaxed, DFT GGA-PBE; crystal system = orthorhombic; spin magnetization = 0.00 μB/cell; energy relative to the elements = 62.82 kJ/mol of atoms; ΔE to the lowest computed polymorph = 40.3 kJ/mol of atoms
1.0
4.0912 0.0000 0.0000
0.0000 4.5800 0.0000
0.0000 0.0000 7.8671
Mg Re Pb
2 4 2
Direct
0.0000 0.0000 0.0000 Mg
0.5000 0.5000 0.5000 Mg
0.0000 0.0000 0.5379 Re
0.0000 0.5000 0.2202 Re
0.5000 0.0000 0.7202 Re
0.5000 0.5000 0.0379 Re
0.0000 0.5000 0.7717 Pb
0.5000 0.0000 0.2717 Pb

[5]
MgRe2Pb, relaxed, DFT GGA-PBE; crystal system = trigonal; spin magnetization = 0.00 μB/cell; energy relative to the elements = 91.02 kJ/mol of atoms; ΔE to the lowest computed polymorph = 68.5 kJ/mol of atoms
1.0
2.8871 0.0000 0.0000
-1.4435 2.5003 0.0000
0.0000 0.0000 30.8853
Mg Re Pb
3 6 3
Direct
0.0000 0.0000 0.0000 Mg
0.3333 0.6667 0.6667 Mg
0.6667 0.3333 0.3333 Mg
0.0000 0.0000 0.2581 Re
0.0000 0.0000 0.7419 Re
0.3333 0.6667 0.4086 Re
0.3333 0.6667 0.9247 Re
0.6667 0.3333 0.0753 Re
0.6667 0.3333 0.5914 Re
0.0000 0.0000 0.5000 Pb
0.3333 0.6667 0.1667 Pb
0.6667 0.3333 0.8333 Pb

[6]
MgRe2Pb, relaxed, DFT GGA-PBE; crystal system = orthorhombic; spin magnetization = 0.00 μB/cell; energy relative to the elements = 73.72 kJ/mol of atoms; ΔE to the lowest computed polymorph = 51.2 kJ/mol of atoms
1.0
2.8854 0.0000 0.0000
0.0000 4.3645 0.0000
0.0000 0.0000 6.1526
Mg Re Pb
1 2 1
Direct
0.0000 0.0000 0.0000 Mg
0.5000 0.5000 0.1888 Re
0.5000 0.5000 0.8112 Re
0.0000 0.0000 0.5000 Pb

[7]
MgRe2Pb, relaxed, DFT GGA-PBE; crystal system = tetragonal; spin magnetization = 0.00 μB/cell; energy relative to the elements = 23.86 kJ/mol of atoms; ΔE to the lowest computed polymorph = 1.3 kJ/mol of atoms
1.0
3.0918 0.0000 0.0000
0.0000 3.0918 0.0000
0.0000 0.0000 8.3901
Mg Re Pb
1 2 1
Direct
0.0000 0.0000 0.0000 Mg
0.0000 0.0000 0.6143 Re
0.5000 0.5000 0.7781 Re
0.5000 0.5000 0.3440 Pb

[8]
MgRe2Pb, relaxed, DFT GGA-PBE; crystal system = monoclinic; spin magnetization = 0.00 μB/cell; energy relative to the elements = 81.00 kJ/mol of atoms; ΔE to the lowest computed polymorph = 58.5 kJ/mol of atoms
1.0
5.6739 0.0000 0.0000
0.0000 9.5963 0.0000
-1.2632 0.0000 2.6073
Mg Re Pb
2 4 2
Direct
0.0000 0.0000 0.0000 Mg
0.5000 0.5000 0.0000 Mg
0.2500 0.2500 0.5000 Re
0.2500 0.7500 0.5000 Re
0.7500 0.2500 0.5000 Re
0.7500 0.7500 0.5000 Re
0.0000 0.5000 0.0000 Pb
0.5000 0.0000 0.0000 Pb